# UAlZnCu (PBE, optimized geometry)
data_UAlZnCu
_symmetry_space_group_name_H-M 'P 1'
_symmetry_Int_Tables_number 1
_symmetry_space_group_name_Hall 'P 1'
_cell_length_a 4.649
_cell_length_b 4.649
_cell_length_c 4.649
_cell_angle_alpha 60.00
_cell_angle_beta 60.00
_cell_angle_gamma 60.00
loop_
_atom_site_label
_atom_site_type_symbol
_atom_site_fract_x
_atom_site_fract_y
_atom_site_fract_z
_atom_site_occupancy
Al1 Al 0.000 0.000 0.000 1
U1 U 0.500 0.500 0.500 1
Cu1 Cu 0.750 0.750 0.750 1
Zn1 Zn 0.250 0.250 0.250 1
# - D(E_F): 6.51 states/eV/f.u.
# - Calculated formation energy: 4.7 kJ/mol of atoms